(1)
Density functional theory data (PBE) for a relaxed Ce5ThTl6 crystal.

Cell: 9.1097 9.1097 9.1097 Å, 148.46 118.55 70.72°
Closest atoms and distances in Å follow each position.
Sites, in units of the cell vectors:
Ce 0.0000 0.0000 0.0000  8 Tl 3.39-3.40, 4 Ce 3.51
Ce 0.1671 0.6671 0.5000  8 Tl 3.39-3.40, 4 Ce 3.49-3.51
Ce 0.3323 0.3323 0.0000  8 Tl 3.38-3.42, 2 Ce 3.49, 2 Th 3.51
Ce 0.6677 0.6677 0.0000  8 Tl 3.38-3.42, 2 Ce 3.49, 2 Th 3.51
Ce 0.8329 0.3329 0.5000  8 Tl 3.39-3.40, 4 Ce 3.49-3.51
Th 0.5000 0.0000 0.5000  8 Tl 3.40, 4 Ce 3.51
Tl 0.0827 0.8332 0.2495  7 Ce 3.38-3.40, 1 Th 3.40, 4 Tl 3.50
Tl 0.2490 0.5000 0.7490  6 Ce 3.39-3.42, 2 Th 3.40, 4 Tl 3.50
Tl 0.4163 0.1668 0.2495  7 Ce 3.38-3.40, 1 Th 3.40, 4 Tl 3.50
Tl 0.5837 0.8332 0.7505  7 Ce 3.38-3.40, 1 Th 3.40, 4 Tl 3.50
Tl 0.7510 0.5000 0.2510  6 Ce 3.39-3.42, 2 Th 3.40, 4 Tl 3.50
Tl 0.9173 0.1668 0.7505  7 Ce 3.38-3.40, 1 Th 3.40, 4 Tl 3.50

## Properties
Calculated formation energy in eV per atom: -0.22
Mass density in g/cm3: 10.47
Magnetic moment in μB per cell: 6.16

***

(2)
Density functional theory data (PBE) for a relaxed CdGeIO2 crystal.

Cell: 4.2892 4.2892 6.0009 Å, 90.00 90.00 90.00°
Closest atoms and distances in Å follow each position.
Sites, in units of the cell vectors:
Cd 0.0000 0.0000 0.0000  4 O 2.14
Ge 0.5000 0.5000 0.5000  4 I 3.03
I 0.0000 0.0000 0.5000  2 Cd 3.00, 4 Ge 3.03
O 0.0000 0.5000 0.0000  2 Cd 2.14
O 0.5000 0.0000 0.0000  2 Cd 2.14

## Properties
Energy relative to the lowest polymorph listed for this composition in eV per atom: 0.579
Mass density in g/cm3: 5.17
Uncorrected formation energy in kJ/mol of atoms: 23
Magnetic moment in μB per cell: 0.64

***

(3)
Density functional theory data (PBE) for a relaxed ZrTaTe2 crystal.

Cell: 3.2740 3.2740 10.2732 Å, 90.00 90.00 105.76°
Closest atoms and distances in Å follow each position.
Sites, in units of the cell vectors:
Zr 0.0000 0.0000 0.0000  2 Te 2.89, 2 Ta 2.95
Ta 0.5000 0.5000 0.7862  2 Te 2.79, 2 Zr 2.95
Te 0.0000 0.0000 0.5949  2 Ta 2.79
Te 0.5000 0.5000 0.2057  2 Zr 2.89

## Properties
Energy relative to the lowest polymorph listed for this composition in eV per atom: 0.196
Mass density in g/cm3: 8.26
Uncorrected formation energy in kJ/mol of atoms: -21
Magnetic moment in μB per cell: 0.00

***

(4)
Density functional theory data (PBE) for a relaxed NdSn2Ge crystal.

Cell: 4.5618 4.5618 4.8693 Å, 90.00 90.00 90.00°
Closest atoms and distances in Å follow each position.
Sites, in units of the cell vectors:
Nd 0.0000 0.0000 0.0000  4 Ge 3.23, 8 Sn 3.34
Sn 0.0000 0.5000 0.5000  4 Sn 3.23, 4 Ge 3.34, 4 Nd 3.34
Sn 0.5000 0.0000 0.5000  4 Sn 3.23, 4 Ge 3.34, 4 Nd 3.34
Ge 0.5000 0.5000 0.0000  4 Nd 3.23, 8 Sn 3.34

## Properties
Calculated formation energy in eV per atom: -0.45
Energy relative to the lowest polymorph listed for this composition in eV per atom: 0.000
Mass density in g/cm3: 7.44
Magnetic moment in μB per cell: 0.00

***

- Look up the magnetic moment of the second one.
  0.64 μB per cell